Entry from the Alexandria database: a geometry-optimized Ca4CeSm3Se8 structure (PBE).

Unit cell a=8.324 b=8.452 c=8.324 alpha=119.50 beta=120.00 gamma=90.00
Element x y z (fractional)
Se: 0.748 0.246 0.998
Se: 0.249 0.248 0.499
Se: 0.250 0.246 0.998
Se: 0.252 0.754 0.002
Se: 0.748 0.246 0.495
Se: 0.252 0.754 0.505
Se: 0.751 0.752 0.501
Se: 0.750 0.754 0.002
Ca: 0.000 0.000 0.000
Ca: 0.500 0.000 0.500
Ca: 0.000 0.000 0.500
Ca: 0.500 0.000 0.000
Sm: 0.500 0.500 0.000
Sm: 0.500 0.500 0.500
Sm: 0.000 0.500 0.500
Ce: 0.000 0.500 0.000

Summary:
**Space-group type**: R-3m (166)
**Energy relative to the elements, uncorrected**: -1.89 eV per atom